Compound: Tb3PrCd
Source: Alexandria via LeMat-Bulk
Functional: PBE-GGA
Structure: relaxed

Calculated values
- energy of formation (meV/atom) = -49
- size of the total moment (μB per formula unit) = 0.00
- total DFT energy (no corrections) (eV per atom) = -3.9666
- space-group type = Imm2
- E above lowest polymorph (meV/atom) = 0

a = 3.5897 Å, b = 5.5919 Å, c = 8.4799 Å
α = 109.25°, β = 102.22°, γ = 90.00°
Atoms (fractional coordinates):
1 Tb 0.3523 0.8523 0.7045
2 Pr 0.6370 0.6370 0.2740
3 Tb 0.9230 0.4230 0.8461
4 Cd 0.0317 0.0317 0.0633
5 Tb 0.2330 0.2330 0.4661

=====

Compound: Tl2Hg7Pb3
Source: Alexandria via LeMat-Bulk
Functional: PBE-GGA
Structure: relaxed

Calculated values
- energy of formation (meV/atom) = 21
- size of the total moment (μB per formula unit) = 0.00
- total DFT energy (no corrections) (eV per atom) = -1.4763
- space-group type = P2/m
- E above lowest polymorph (meV/atom) = 0

a = 3.3297 Å, b = 6.0128 Å, c = 17.5730 Å
α = 97.12°, β = 90.00°, γ = 90.00°
Atoms (fractional coordinates):
1 Hg 0.5000 0.8908 0.1509
2 Tl 0.5000 0.3600 0.6573
3 Hg 0.5000 0.7628 0.5264
4 Pb 0.0000 0.8734 0.6973
5 Hg 0.0000 0.4167 0.1626
6 Pb 0.0000 0.1266 0.3027
7 Tl 0.5000 0.6400 0.3427
8 Pb 0.5000 0.5000 0.0000
9 Hg 0.5000 0.2372 0.4736
10 Hg 0.0000 0.5833 0.8374
11 Hg 0.0000 0.0000 0.0000
12 Hg 0.5000 0.1092 0.8491

=====

Compound: LiTi2Cu
Source: Alexandria via LeMat-Bulk
Functional: PBE-GGA
Structure: relaxed

Calculated values
- energy of formation (meV/atom) = 387
- size of the total moment (μB per formula unit) = 0.00
- total DFT energy (no corrections) (eV per atom) = -5.0634
- space-group type = I-42d
- E above lowest polymorph (meV/atom) = 202

a = 7.0885 Å, b = 7.0885 Å, c = 5.5899 Å
α = 50.65°, β = 50.65°, γ = 90.00°
Atoms (fractional coordinates):
1 Li 0.5000 0.5000 0.0000
2 Ti 0.3750 0.3628 0.7500
3 Cu 0.0000 0.0000 0.0000
4 Ti 0.1128 0.6250 0.2500
5 Cu 0.7500 0.2500 0.5000
6 Li 0.2500 0.7500 0.5000
7 Ti 0.8750 0.8872 0.7500
8 Ti 0.6372 0.1250 0.2500

=====

Compound: HoPa4O10
Source: Alexandria via LeMat-Bulk
Functional: PBE-GGA
Structure: relaxed

Calculated values
- size of the total moment (μB per formula unit) = 2.30
- total DFT energy (no corrections) (eV per atom) = -9.7726
- space-group type = R-3m
- energy relative to the elements, uncorrected (eV per atom) = -3.63

a = 3.8638 Å, b = 3.8638 Å, c = 15.7534 Å
α = 82.96°, β = 82.96°, γ = 60.00°
Atoms (fractional coordinates):
1 O 0.0508 0.0508 0.8476
2 Pa 0.2004 0.2004 0.3989
3 O 0.1497 0.1497 0.5509
4 O 0.4496 0.4496 0.6512
5 O 0.6484 0.6484 0.0548
6 Pa 0.6018 0.6018 0.1945
7 O 0.5504 0.5504 0.3488
8 Pa 0.7996 0.7996 0.6011
9 Pa 0.3982 0.3982 0.8055
10 O 0.9492 0.9492 0.1524
11 O 0.7493 0.7493 0.7520
12 O 0.8503 0.8503 0.4491
13 O 0.2507 0.2507 0.2480
14 O 0.3516 0.3516 0.9452
15 Ho 0.0000 0.0000 0.0000

=====

Compound: LuNiPb
Source: Alexandria via LeMat-Bulk
Functional: PBE-GGA
Structure: relaxed

Calculated values
- energy of formation (meV/atom) = -307
- size of the total moment (μB per formula unit) = 0.00
- total DFT energy (no corrections) (eV per atom) = -4.9777
- space-group type = P-6m2

a = 3.5282 Å, b = 4.5389 Å, c = 4.5389 Å
α = 120.00°, β = 90.00°, γ = 90.00°
Atoms (fractional coordinates):
1 Ni 0.1663 0.0000 0.0000
2 Pb 0.1669 0.3333 0.6667
3 Lu 0.6668 0.6667 0.3333

=====

Compound: Li2BiPd4
Source: Alexandria via LeMat-Bulk
Functional: PBE-GGA
Structure: relaxed

Calculated values
- energy of formation (meV/atom) = -263
- size of the total moment (μB per formula unit) = 0.00
- total DFT energy (no corrections) (eV per atom) = -4.3311
- space-group type = I4/mmm
- E above lowest polymorph (meV/atom) = 38

a = 5.3937 Å, b = 5.3937 Å, c = 5.3937 Å
α = 111.75°, β = 108.34°, γ = 108.34°
Atoms (fractional coordinates):
1 Pd 0.5000 0.0000 0.0000
2 Pd 0.0000 0.5000 0.0000
3 Pd 0.5000 0.5000 0.5000
4 Bi 0.0000 0.0000 0.0000
5 Li 0.5000 0.0000 0.5000
6 Li 0.5000 0.5000 0.0000
7 Pd 0.0000 0.0000 0.5000

=====

Compound: K2Ag2Au
Source: Alexandria via LeMat-Bulk
Functional: PBE-GGA
Structure: relaxed

Calculated values
- energy of formation (meV/atom) = -63
- size of the total moment (μB per formula unit) = 0.00
- total DFT energy (no corrections) (eV per atom) = -2.2983
- space-group type = I4/mmm
- E above lowest polymorph (meV/atom) = 69

a = 3.9373 Å, b = 3.9373 Å, c = 10.2186 Å
α = 78.89°, β = 78.89°, γ = 90.00°
Atoms (fractional coordinates):
1 Ag 0.2500 0.7500 0.5000
2 Ag 0.7500 0.2500 0.5000
3 K 0.3978 0.3978 0.2044
4 K 0.6022 0.6022 0.7956
5 Au 0.0000 0.0000 0.0000

=====

Compound: InGaO2F
Source: Alexandria via LeMat-Bulk
Functional: PBE-GGA
Structure: relaxed

Calculated values
- size of the total moment (μB per formula unit) = 0.00
- total DFT energy (no corrections) (eV per atom) = -4.5557
- space-group type = P4/mmm
- energy relative to the elements, uncorrected (eV per atom) = -1.05

a = 4.2103 Å, b = 4.2103 Å, c = 4.2430 Å
α = 90.00°, β = 90.00°, γ = 90.00°
Atoms (fractional coordinates):
1 In 0.0000 0.0000 0.0000
2 O 0.0000 0.5000 0.0000
3 F 0.0000 0.0000 0.5000
4 Ga 0.5000 0.5000 0.5000
5 O 0.5000 0.0000 0.0000

=====

Compound: CeGe6Pd12
Source: Alexandria via LeMat-Bulk
Functional: PBE-GGA
Structure: relaxed

Calculated values
- energy of formation (meV/atom) = -486
- size of the total moment (μB per formula unit) = 1.20
- total DFT energy (no corrections) (eV per atom) = -5.5362
- space-group type = R-3m

a = 7.2427 Å, b = 7.2427 Å, c = 7.2427 Å
α = 105.56°, β = 105.56°, γ = 105.56°
Atoms (fractional coordinates):
1 Pd 0.5000 0.1230 0.8770
2 Pd 0.4227 0.4227 0.1665
3 Ge 0.7454 0.7454 0.3053
4 Ge 0.2546 0.2546 0.6947
5 Ce 0.0000 0.0000 0.0000
6 Pd 0.8770 0.1230 0.5000
7 Ge 0.7454 0.3053 0.7454
8 Ge 0.6947 0.2546 0.2546
9 Pd 0.8335 0.5773 0.5773
10 Pd 0.1665 0.4227 0.4227
11 Ge 0.2546 0.6947 0.2546
12 Pd 0.5773 0.5773 0.8335
13 Pd 0.5773 0.8335 0.5773
14 Pd 0.8770 0.5000 0.1230
15 Pd 0.1230 0.8770 0.5000
16 Ge 0.3053 0.7454 0.7454
17 Pd 0.5000 0.8770 0.1230
18 Pd 0.4227 0.1665 0.4227
19 Pd 0.1230 0.5000 0.8770

=====

Compound: NbZnGe2Br
Source: Alexandria via LeMat-Bulk
Functional: PBE-GGA
Structure: relaxed

Calculated values
- size of the total moment (μB per formula unit) = 0.30
- total DFT energy (no corrections) (eV per atom) = -3.8846
- space-group type = P4/mmm
- energy relative to the elements, uncorrected (eV per atom) = 0.57

a = 5.0624 Å, b = 5.3665 Å, c = 5.0624 Å
α = 90.00°, β = 90.00°, γ = 90.00°
Atoms (fractional coordinates):
1 Nb 0.0000 0.0000 0.0000
2 Ge 0.5000 0.0000 0.0000
3 Zn 0.0000 0.5000 0.0000
4 Br 0.5000 0.5000 0.5000
5 Ge 0.0000 0.0000 0.5000

=====

Compound: TiInCu
Source: Alexandria via LeMat-Bulk
Functional: PBE-GGA
Structure: relaxed

Calculated values
- energy of formation (meV/atom) = -17
- size of the total moment (μB per formula unit) = 0.32
- total DFT energy (no corrections) (eV per atom) = -4.9266
- space-group type = C2/m

a = 3.0484 Å, b = 5.6830 Å, c = 6.4154 Å
α = 74.09°, β = 103.71°, γ = 89.96°
Atoms (fractional coordinates):
1 Cu 0.2980 0.7628 0.6831
2 Cu 0.9940 0.9454 0.0730
3 Ti 0.6413 0.0949 0.3689
4 In 0.3177 0.2291 0.7222
5 In 0.9736 0.4789 0.0339
6 Ti 0.6502 0.6131 0.3872

=====

Compound: NaHoPdPt
Source: Alexandria via LeMat-Bulk
Functional: PBE-GGA
Structure: relaxed

Calculated values
- energy of formation (meV/atom) = -668
- size of the total moment (μB per formula unit) = 0.00
- total DFT energy (no corrections) (eV per atom) = -4.9502
- space-group type = F-43m

a = 4.7992 Å, b = 4.7992 Å, c = 4.7992 Å
α = 60.00°, β = 60.00°, γ = 60.00°
Atoms (fractional coordinates):
1 Na 0.5000 0.5000 0.5000
2 Ho 0.0000 0.0000 0.0000
3 Pt 0.7500 0.7500 0.7500
4 Pd 0.2500 0.2500 0.2500

=====

Compound: KZrPOs2
Source: Alexandria via LeMat-Bulk
Functional: PBE-GGA
Structure: relaxed

Calculated values
- energy of formation (meV/atom) = 2744
- size of the total moment (μB per formula unit) = 0.00
- total DFT energy (no corrections) (eV per atom) = -4.7585
- space-group type = P4/mmm

a = 4.5264 Å, b = 4.9247 Å, c = 4.5264 Å
α = 90.00°, β = 90.00°, γ = 90.00°
Atoms (fractional coordinates):
1 Os 0.5000 0.0000 0.0000
2 Zr 0.5000 0.5000 0.5000
3 K 0.0000 0.0000 0.0000
4 Os 0.0000 0.0000 0.5000
5 P 0.0000 0.5000 0.0000

=====

Compound: YReAg
Source: Alexandria via LeMat-Bulk
Functional: PBE-GGA
Structure: relaxed

Calculated values
- energy of formation (meV/atom) = 497
- size of the total moment (μB per formula unit) = 0.05
- total DFT energy (no corrections) (eV per atom) = -6.7570
- space-group type = Fmm2
- E above lowest polymorph (meV/atom) = 17

a = 6.9891 Å, b = 6.9878 Å, c = 2.9643 Å
α = 77.78°, β = 77.73°, γ = 24.49°
Atoms (fractional coordinates):
1 Y 0.6737 0.6737 0.3263
2 Re 0.3375 0.3375 0.6625
3 Ag 0.9888 0.9888 0.0112

=====

Compound: MnMo2Ir
Source: Alexandria via LeMat-Bulk
Functional: PBE-GGA
Structure: relaxed

Calculated values
- energy of formation (meV/atom) = 147
- size of the total moment (μB per formula unit) = 2.54
- total DFT energy (no corrections) (eV per atom) = -9.7764
- space-group type = R-3m
- E above lowest polymorph (meV/atom) = 219

a = 9.1543 Å, b = 9.1543 Å, c = 9.1543 Å
α = 17.36°, β = 17.36°, γ = 17.36°
Atoms (fractional coordinates):
1 Mo 0.5001 0.5001 0.5001
2 Mn 0.7500 0.7500 0.7500
3 Mo 0.9999 0.9999 0.9999
4 Ir 0.2500 0.2500 0.2500

=====

Compound: U4Pd6Pt7
Source: Alexandria via LeMat-Bulk
Functional: PBE-GGA
Structure: relaxed

Calculated values
- energy of formation (meV/atom) = -489
- size of the total moment (μB per formula unit) = 9.08
- total DFT energy (no corrections) (eV per atom) = -7.4652
- space-group type = Im-3m

a = 7.4060 Å, b = 7.4060 Å, c = 7.4060 Å
α = 109.47°, β = 109.47°, γ = 109.47°
Atoms (fractional coordinates):
1 U 0.0000 0.0000 0.5000
2 Pd 0.3013 0.0000 0.3013
3 Pt 0.7500 0.2500 0.5000
4 Pt 0.5000 0.7500 0.2500
5 Pt 0.0000 0.0000 0.0000
6 Pd 0.0000 0.3013 0.3013
7 Pt 0.7500 0.5000 0.2500
8 Pd 0.3013 0.3013 0.0000
9 Pd 0.0000 0.6987 0.6987
10 Pd 0.6987 0.0000 0.6987
11 Pt 0.5000 0.2500 0.7500
12 Pd 0.6987 0.6987 0.0000
13 Pt 0.2500 0.7500 0.5000
14 U 0.0000 0.5000 0.0000
15 U 0.5000 0.5000 0.5000
16 Pt 0.2500 0.5000 0.7500
17 U 0.5000 0.0000 0.0000

=====

Compound: Ba4In2Ag
Source: Alexandria via LeMat-Bulk
Functional: PBE-GGA
Structure: relaxed

Calculated values
- energy of formation (meV/atom) = -276
- size of the total moment (μB per formula unit) = 0.00
- total DFT energy (no corrections) (eV per atom) = -2.5644
- space-group type = I4/mmm

a = 7.3127 Å, b = 7.3127 Å, c = 7.3127 Å
α = 111.98°, β = 108.23°, γ = 108.23°
Atoms (fractional coordinates):
1 In 0.5000 0.5000 0.0000
2 Ba 0.5000 0.0000 0.0000
3 Ba 0.5000 0.5000 0.5000
4 Ba 0.0000 0.5000 0.0000
5 In 0.5000 0.0000 0.5000
6 Ba 0.0000 0.0000 0.5000
7 Ag 0.0000 0.0000 0.0000

=====

Compound: BaAcPmNd
Source: Alexandria via LeMat-Bulk
Functional: PBE-GGA
Structure: relaxed

Calculated values
- energy of formation (meV/atom) = 244
- size of the total moment (μB per formula unit) = 1.47
- total DFT energy (no corrections) (eV per atom) = -3.6435
- space-group type = F-43m

a = 6.2027 Å, b = 6.2027 Å, c = 6.2027 Å
α = 60.00°, β = 60.00°, γ = 60.00°
Atoms (fractional coordinates):
1 Ba 0.7500 0.7500 0.7500
2 Pm 0.0000 0.0000 0.0000
3 Ac 0.5000 0.5000 0.5000
4 Nd 0.2500 0.2500 0.2500

=====

Compound: SrFeAg2
Source: Alexandria via LeMat-Bulk
Functional: PBE-GGA
Structure: relaxed

Calculated values
- energy of formation (meV/atom) = 420
- size of the total moment (μB per formula unit) = 2.68
- total DFT energy (no corrections) (eV per atom) = -3.5417
- space-group type = P4/mmm
- E above lowest polymorph (meV/atom) = 240

a = 4.6119 Å, b = 4.6077 Å, c = 4.1281 Å
α = 90.00°, β = 90.00°, γ = 90.00°
Atoms (fractional coordinates):
1 Ag 0.5000 0.5000 0.0000
2 Sr 0.0000 0.5000 0.5000
3 Ag 0.0000 0.0000 0.0000
4 Fe 0.5000 0.0000 0.5000

=====

Compound: CaSi2Br
Source: Alexandria via LeMat-Bulk
Functional: PBE-GGA
Structure: relaxed

Calculated values
- size of the total moment (μB per formula unit) = 0.00
- total DFT energy (no corrections) (eV per atom) = -3.9576
- space-group type = C2/m
- energy relative to the elements, uncorrected (eV per atom) = -0.33
- E above lowest polymorph (meV/atom) = 348

a = 6.3398 Å, b = 7.6564 Å, c = 7.6564 Å
α = 150.93°, β = 143.81°, γ = 49.08°
Atoms (fractional coordinates):
1 Br 0.7500 0.2500 0.5000
2 Si 0.8978 0.0057 0.8921
3 Si 0.6022 0.4943 0.1079
4 Ca 0.2500 0.7500 0.5000